Entry 1:
The following is a DFT calculation (meta-GGA SCAN) of a crystal of Nb2ReBrN relaxed with PBEsol.

Raw formation energy: 2.705 eV per atom
M_tot: 0.00 μB/cell
D(E_F): 0.6001 states/eV/atom

CIF file:
```
data_Nb2ReBrN
_chemical_formula_sum 'Nb2 Re1 Br1 N1'
_space_group_name_H-M_alt 'P 4/m m m'
_space_group_IT_number 123
_space_group_name_Hall '-P 4 2'
_cell_length_a 4.663
_cell_length_b 4.663
_cell_length_c 4.451
_cell_angle_alpha 90.00
_cell_angle_beta 90.00
_cell_angle_gamma 90.00
loop_
_atom_site_label
_atom_site_fract_x
_atom_site_fract_y
_atom_site_fract_z
Nb1 0.000 0.500 0.000
Re1 0.000 0.000 0.500
Br1 0.000 0.000 0.000
N1 0.500 0.500 0.500
```



Entry 2:
The following is a DFT calculation (meta-GGA SCAN) of a crystal of Ca3MnBi relaxed with PBEsol.

M_tot: 2.52 μB/cell
ΔH_f (0 K): 0.12 eV per atom
D(E_F): 0.4775 states/eV/atom

CIF file:
```
data_Ca3MnBi
_chemical_formula_sum 'Ca3 Mn1 Bi1'
_space_group_name_H-M_alt 'P m -3 m'
_space_group_IT_number 221
_space_group_name_Hall '-P 4 2 3'
_cell_length_a 5.308
_cell_length_b 5.308
_cell_length_c 5.308
_cell_angle_alpha 90.00
_cell_angle_beta 90.00
_cell_angle_gamma 90.00
loop_
_atom_site_label
_atom_site_fract_x
_atom_site_fract_y
_atom_site_fract_z
Ca1 0.000 0.000 0.500
Mn1 0.000 0.000 0.000
Bi1 0.500 0.500 0.500
```



Entry 3:
The following is a DFT calculation (meta-GGA SCAN) of a crystal of Y3TlP relaxed with PBEsol.

M_tot: 0.00 μB/cell
ΔH_f (0 K): -0.90 eV per atom
D(E_F): 0.3568 states/eV/atom

CIF file:
```
data_Y3TlP
_chemical_formula_sum 'Y3 Tl1 P1'
_space_group_name_H-M_alt 'P m -3 m'
_space_group_IT_number 221
_space_group_name_Hall '-P 4 2 3'
_cell_length_a 5.182
_cell_length_b 5.182
_cell_length_c 5.182
_cell_angle_alpha 90.00
_cell_angle_beta 90.00
_cell_angle_gamma 90.00
loop_
_atom_site_label
_atom_site_fract_x
_atom_site_fract_y
_atom_site_fract_z
Y1 0.000 0.000 0.500
Tl1 0.500 0.500 0.500
P1 0.000 0.000 0.000
```



Entry 4:
The following is a DFT calculation (meta-GGA SCAN) of a crystal of BeAlFe relaxed with PBEsol.

M_tot: 7.06 μB/cell
Distance to the lowest polymorph of the same formula: 87 meV/atom
ΔH_f (0 K): 0.33 eV per atom
D(E_F): 0.7079 states/eV/atom

CIF file:
```
data_BeAlFe
_chemical_formula_sum 'Be4 Al4 Fe4'
_space_group_name_H-M_alt 'F -4 3 m'
_space_group_IT_number 216
_space_group_name_Hall 'F -4 2 3'
_cell_length_a 5.376
_cell_length_b 5.376
_cell_length_c 5.376
_cell_angle_alpha 90.00
_cell_angle_beta 90.00
_cell_angle_gamma 90.00
loop_
_atom_site_label
_atom_site_fract_x
_atom_site_fract_y
_atom_site_fract_z
Be1 0.000 0.000 0.000
Al1 0.000 0.000 0.500
Fe1 0.250 0.250 0.750
```



Entry 5:
The following is a DFT calculation (meta-GGA SCAN) of a crystal of KSc2Pb relaxed with PBEsol.

M_tot: 2.84 μB/cell
ΔH_f (0 K): 0.13 eV per atom
D(E_F): 1.1212 states/eV/atom

CIF file:
```
data_KSc2Pb
_chemical_formula_sum 'K3 Sc6 Pb3'
_space_group_name_H-M_alt 'R -3 m'
_space_group_IT_number 166
_space_group_name_Hall '-R 3 2"'
_cell_length_a 3.4303
_cell_length_b 3.4303
_cell_length_c 34.4996
_cell_angle_alpha 90.00
_cell_angle_beta 90.00
_cell_angle_gamma 120.00
loop_
_atom_site_label
_atom_site_fract_x
_atom_site_fract_y
_atom_site_fract_z
K1 0.0000 0.0000 0.0000
Sc1 0.0000 0.0000 0.2360
Pb1 0.0000 0.0000 0.5000
```



Entry 6:
The following is a DFT calculation (meta-GGA SCAN) of a crystal of YZr5 relaxed with PBEsol.

M_tot: 0.00 μB/cell
ΔH_f (0 K): 0.06 eV per atom
D(E_F): 0.6228 states/eV/atom

CIF file:
```
data_YZr5
_chemical_formula_sum 'Y2 Zr10'
_space_group_name_H-M_alt 'A m m 2'
_space_group_IT_number 38
_space_group_name_Hall 'A 2 -2'
_cell_length_a 5.156
_cell_length_b 3.226
_cell_length_c 16.890
_cell_angle_alpha 90.00
_cell_angle_beta 90.00
_cell_angle_gamma 90.00
loop_
_atom_site_label
_atom_site_fract_x
_atom_site_fract_y
_atom_site_fract_z
Y1 0.000 0.000 0.000
Zr1 0.000 0.000 0.329
Zr2 0.000 0.000 0.670
Zr3 0.500 0.000 0.223
Zr4 0.500 0.000 0.562
Zr5 0.500 0.000 0.886
```



Entry 7:
The following is a DFT calculation (meta-GGA SCAN) of a crystal of MnAgBi2 relaxed with PBEsol.

M_tot: 18.56 μB/cell
ΔH_f (0 K): 0.22 eV per atom
D(E_F): 0.3506 states/eV/atom

CIF file:
```
data_MnAgBi2
_chemical_formula_sum 'Mn4 Ag4 Bi8'
_space_group_name_H-M_alt 'I -4 2 d'
_space_group_IT_number 122
_space_group_name_Hall 'I -4 2bw'
_cell_length_a 4.743
_cell_length_b 4.743
_cell_length_c 18.311
_cell_angle_alpha 90.00
_cell_angle_beta 90.00
_cell_angle_gamma 90.00
loop_
_atom_site_label
_atom_site_fract_x
_atom_site_fract_y
_atom_site_fract_z
Mn1 0.000 0.000 0.000
Ag1 0.000 0.000 0.500
Bi1 0.241 0.250 0.125
```



Entry 8:
The following is a DFT calculation (meta-GGA SCAN) of a crystal of Mn2FeRh relaxed with PBEsol.

M_tot: 2.29 μB/cell
Distance to the lowest polymorph of the same formula: 0 meV/atom
ΔH_f (0 K): -0.12 eV per atom
D(E_F): 0.9825 states/eV/atom

CIF file:
```
data_Mn2FeRh
_chemical_formula_sum 'Mn2 Fe1 Rh1'
_space_group_name_H-M_alt 'P m m 2'
_space_group_IT_number 25
_space_group_name_Hall 'P 2 -2'
_cell_length_a 2.544
_cell_length_b 3.544
_cell_length_c 5.075
_cell_angle_alpha 90.00
_cell_angle_beta 90.00
_cell_angle_gamma 90.00
loop_
_atom_site_label
_atom_site_fract_x
_atom_site_fract_y
_atom_site_fract_z
Mn1 0.000 0.000 0.000
Mn2 0.500 0.500 0.244
Fe1 0.500 0.500 0.765
Rh1 0.000 0.000 0.504
```



Entry 9:
The following is a DFT calculation (meta-GGA SCAN) of a crystal of NaTe2Pt relaxed with PBEsol.

Raw formation energy: -0.527 eV per atom
M_tot: 0.00 μB/cell
D(E_F): 0.7535 states/eV/atom

CIF file:
```
data_NaTe2Pt
_chemical_formula_sum 'Na4 Te8 Pt4'
_space_group_name_H-M_alt 'I -4 2 d'
_space_group_IT_number 122
_space_group_name_Hall 'I -4 2bw'
_cell_length_a 8.258
_cell_length_b 8.258
_cell_length_c 6.056
_cell_angle_alpha 90.00
_cell_angle_beta 90.00
_cell_angle_gamma 90.00
loop_
_atom_site_label
_atom_site_fract_x
_atom_site_fract_y
_atom_site_fract_z
Na1 0.000 0.000 0.000
Te1 0.170 0.750 0.625
Pt1 0.000 0.000 0.500
```



Entry 10:
The following is a DFT calculation (meta-GGA SCAN) of a crystal of BaBeSi3 relaxed with PBEsol.

Raw formation energy: 2.508 eV per atom
M_tot: 0.00 μB/cell
Distance to the lowest polymorph of the same formula: 2079 meV/atom
D(E_F): 0.8903 states/eV/atom

CIF file:
```
data_BaBeSi3
_chemical_formula_sum 'Ba1 Be1 Si3'
_space_group_name_H-M_alt 'P m -3 m'
_space_group_IT_number 221
_space_group_name_Hall '-P 4 2 3'
_cell_length_a 5.502
_cell_length_b 5.502
_cell_length_c 5.502
_cell_angle_alpha 90.00
_cell_angle_beta 90.00
_cell_angle_gamma 90.00
loop_
_atom_site_label
_atom_site_fract_x
_atom_site_fract_y
_atom_site_fract_z
Ba1 0.000 0.000 0.000
Be1 0.500 0.500 0.500
Si1 0.000 0.000 0.500
```



Entry 11:
The following is a DFT calculation (meta-GGA SCAN) of a crystal of TlMoPb2 relaxed with PBEsol.

M_tot: 5.46 μB/cell
Distance to the lowest polymorph of the same formula: 290 meV/atom
ΔH_f (0 K): 0.72 eV per atom
D(E_F): 0.5902 states/eV/atom

CIF file:
```
data_TlMoPb2
_chemical_formula_sum 'Tl2 Mo2 Pb4'
_space_group_name_H-M_alt 'C 1 2/m 1'
_space_group_IT_number 12
_space_group_name_Hall '-C 2y'
_cell_length_a 6.669
_cell_length_b 8.568
_cell_length_c 3.305
_cell_angle_alpha 90.00
_cell_angle_beta 90.12
_cell_angle_gamma 90.00
loop_
_atom_site_label
_atom_site_fract_x
_atom_site_fract_y
_atom_site_fract_z
Tl1 0.000 0.000 0.000
Mo1 0.000 0.500 0.000
Pb1 0.250 0.250 0.500
```



Entry 12:
The following is a DFT calculation (meta-GGA SCAN) of a crystal of SbINO2 relaxed with PBEsol.

Raw formation energy: 0.455 eV per atom
M_tot: 1.52 μB/cell
D(E_F): 0.2815 states/eV/atom

CIF file:
```
data_SbINO2
_chemical_formula_sum 'Sb1 I1 N1 O2'
_space_group_name_H-M_alt 'P 4/m m m'
_space_group_IT_number 123
_space_group_name_Hall '-P 4 2'
_cell_length_a 3.862
_cell_length_b 3.862
_cell_length_c 6.277
_cell_angle_alpha 90.00
_cell_angle_beta 90.00
_cell_angle_gamma 90.00
loop_
_atom_site_label
_atom_site_fract_x
_atom_site_fract_y
_atom_site_fract_z
Sb1 0.000 0.000 0.000
I1 0.000 0.000 0.500
N1 0.500 0.500 0.500
O1 0.000 0.500 0.000
```